--- one ---
Computed, not measured: a relaxed structure of TiIN2 at the GGA-PBE level of DFT.

Cell: 6.7051 6.7051 6.7051 Å, 27.67 27.67 27.67°
Last column: nearest neighbours and their distance in Å.
Element x y z (fractional)
N (0.8864, 0.8864, 0.8864)  3 Ti 2.12, 1 I 2.20
N (0.1136, 0.1136, 0.1136)  3 Ti 2.12, 1 I 2.20
I (0.0000, 0.0000, 0.0000)  2 N 2.20
Ti (0.5000, 0.5000, 0.5000)  6 N 2.12

Computed properties:
N(E_F) (states/eV/atom): 0.3616
Density (g/cm³): 5.9

--- two ---
Computed, not measured: a relaxed structure of TiIN2 at the GGA-PBE level of DFT.

Cell: 6.4557 6.4557 6.4557 Å, 31.65 31.65 31.65°
Last column: nearest neighbours and their distance in Å.
Element x y z (fractional)
N (0.1076, 0.1076, 0.1076)  1 Ti 1.98
N (0.8924, 0.8924, 0.8924)  1 Ti 1.98
I (0.5000, 0.5000, 0.5000)  6 N 2.30
Ti (0.0000, 0.0000, 0.0000)  2 N 1.98

Computed properties:
N(E_F) (states/eV/atom): 1.0417
Density (g/cm³): 5.1

Computed stability ranking, most favorable first: one, two

--- one ---
Computed, not measured: a relaxed structure of TiWI2N at the GGA-PBE level of DFT.

Cell: 5.5946 5.5946 3.8108 Å, 90.00 90.00 90.00°
Last column: nearest neighbours and their distance in Å.
Element x y z (fractional)
W (0.0000, 0.0000, 0.0000)  2 N 1.91
N (0.0000, 0.0000, 0.5000)  2 W 1.91
I (0.5000, 0.0000, 0.0000)  2 W 2.80
I (0.0000, 0.5000, 0.0000)  2 W 2.80
Ti (0.5000, 0.5000, 0.5000)  8 I 3.38

Computed properties:
N(E_F) (states/eV/atom): 1.8708
Density (g/cm³): 7.0

--- two ---
Computed, not measured: a relaxed structure of TiWI2N at the GGA-PBE level of DFT.

Cell: 5.6302 5.6302 3.6938 Å, 90.00 90.00 90.00°
Last column: nearest neighbours and their distance in Å.
Element x y z (fractional)
I (0.0000, 0.5000, 0.0000)  2 Ti 2.82
I (0.5000, 0.0000, 0.0000)  2 Ti 2.82
Ti (0.0000, 0.0000, 0.0000)  2 N 1.85
N (0.0000, 0.0000, 0.5000)  2 Ti 1.85
W (0.5000, 0.5000, 0.5000)  8 I 3.37, 2 W 3.69

Computed properties:
N(E_F) (states/eV/atom): 0.7075
Density (g/cm³): 7.1

Computed stability ranking, most favorable first: one, two